Record 1
## RbP2IrO7 (GGA-PBE)

Data for RbP2IrO7 after structural relaxation.

Cell lengths 7.2578, 8.1770, 5.3400 Å; angles 90.00, 91.20, 90.00 degrees
Space group C2 (No. 5)
Symmetry-distinct sites (fractional):
Rb 0.0000 0.0000 0.0000 (multiplicity 2)
P 0.1956 0.3005 0.5792 (multiplicity 4)
Ir 0.0000 0.6344 0.5000 (multiplicity 2)
O 0.0000 0.2174 0.5000 (multiplicity 2)
O 0.1565 0.4650 0.7017 (multiplicity 4)
O 0.1810 0.8069 0.6540 (multiplicity 4)
O 0.2116 0.6756 0.2411 (multiplicity 4)

- Total energy: -0.498 Ry/atom

Record 2
## RePIrO (GGA-PBE)

Data for RePIrO after structural relaxation.

Cell lengths 3.7768, 3.7768, 6.7870 Å; angles 90.00, 90.00, 90.00 degrees
Space group P4/nmm (No. 129, origin choice 2)
Symmetry-distinct sites (fractional):
Re 0.2500 0.2500 0.1778 (multiplicity 2)
P 0.2500 0.2500 0.7232 (multiplicity 2)
Ir 0.2500 0.7500 0.5000 (multiplicity 2)
O 0.2500 0.7500 0.0000 (multiplicity 2)

- Distance to the lowest polymorph of the same formula: 153 meV/atom
- Total energy: -0.587 Ry/atom

Q: Among the records above, which one has the lowest total energy?
A: RePIrO